No. 1
This record from Alexandria describes SiTc2Pb after structural relaxation. The functional is GGA-PBEsol.

Properties
- E_form (uncorrected): 0.6255 eV/atom
- Relative energy among the computed polymorphs: 394 meV per atom

Unit cell a=4.517 b=4.517 c=4.517 alpha=60.00 beta=60.00 gamma=60.00
Sites, in units of the cell vectors:
Si: 0.250 0.250 0.250
Pb: 0.500 0.500 0.500
Tc: 0.000 0.000 0.000
Tc: 0.750 0.750 0.750

---

No. 2
This record from Alexandria describes HoZr after structural relaxation. The functional is GGA-PBEsol.

Properties
- DFT formation energy: 0.0968 eV/atom

Unit cell a=3.328 b=3.328 c=5.278 alpha=90.00 beta=90.00 gamma=120.00
Sites, in units of the cell vectors:
Ho: 0.000 0.000 0.000
Zr: 0.667 0.333 0.500

---

Calculated values (g/cm³) of ρ for the records, taken in order: 11.0; 8.4.